[1]
# LuMgHg2

LuMgHg2 after structural relaxation (PBE, Alexandria).

abc: 5.003 5.003 3.653
angles: 90.00 90.00 90.00
Element x y z (fractional)
1 Lu 0.000 0.000 0.000
2 Mg 0.500 0.500 0.000
3 Hg 0.000 0.500 0.500
4 Hg 0.500 0.000 0.500

space-group type: No. 123
final energy: -8.247 eV per cell
polymorph energy (0 for the lowest one): 33 meV per atom
formation energy: -382 meV per atom

=====

[2]
# LuMgHg

LuMgHg after structural relaxation (PBE, Alexandria).

abc: 4.883 4.883 3.438
angles: 90.00 90.00 120.00
Element x y z (fractional)
1 Lu 0.000 0.000 0.000
2 Mg 0.333 0.667 0.500
3 Hg 0.667 0.333 0.500

space-group type: No. 187
final energy: -7.254 eV per cell
formation energy: -279 meV per atom

=====

[3]
# LuMgHg

LuMgHg after structural relaxation (PBE, Alexandria).

abc: 4.842 4.842 4.842
angles: 60.00 60.00 60.00
Element x y z (fractional)
1 Lu 0.000 0.000 0.000
2 Mg 0.500 0.500 0.500
3 Hg 0.250 0.250 0.250

space-group type: No. 216
final energy: -6.920 eV per cell
formation energy: -168 meV per atom

=====

[4]
# LuMgHg2

LuMgHg2 after structural relaxation (PBE, Alexandria).

abc: 5.016 5.016 5.016
angles: 60.00 60.00 60.00
Element x y z (fractional)
1 Lu 0.000 0.000 0.000
2 Mg 0.500 0.500 0.500
3 Hg 0.250 0.250 0.250
4 Hg 0.750 0.750 0.750

space-group type: No. 225
final energy: -8.379 eV per cell
polymorph energy (0 for the lowest one): 0 meV per atom
formation energy: -415 meV per atom

=====

[5]
# NdLuMgHg

NdLuMgHg after structural relaxation (PBE, Alexandria).

abc: 5.332 5.332 5.332
angles: 60.00 60.00 60.00
Element x y z (fractional)
1 Nd 0.000 0.000 0.000
2 Lu 0.500 0.500 0.500
3 Mg 0.250 0.250 0.250
4 Hg 0.750 0.750 0.750

space-group type: No. 216
final energy: -12.175 eV per cell
formation energy: -248 meV per atom

=====

[6]
# LuMgHgPd

LuMgHgPd after structural relaxation (PBE, Alexandria).

abc: 4.862 4.862 4.862
angles: 60.00 60.00 60.00
Element x y z (fractional)
1 Lu 0.000 0.000 0.000
2 Mg 0.500 0.500 0.500
3 Hg 0.250 0.250 0.250
4 Pd 0.750 0.750 0.750

space-group type: No. 216
final energy: -13.972 eV per cell
formation energy: -590 meV per atom

=====

[7]
# PmLuMgHg

PmLuMgHg after structural relaxation (PBE, Alexandria).

abc: 5.313 5.313 5.313
angles: 60.00 60.00 60.00
Element x y z (fractional)
1 Pm 0.000 0.000 0.000
2 Lu 0.500 0.500 0.500
3 Mg 0.250 0.250 0.250
4 Hg 0.750 0.750 0.750

space-group type: No. 216
final energy: -12.171 eV per cell
formation energy: -251 meV per atom

=====

[8]
# LuMgHgPt

LuMgHgPt after structural relaxation (PBE, Alexandria).

abc: 4.845 4.845 4.845
angles: 60.00 60.00 60.00
Element x y z (fractional)
1 Lu 0.000 0.000 0.000
2 Mg 0.500 0.500 0.500
3 Hg 0.750 0.750 0.750
4 Pt 0.250 0.250 0.250

space-group type: No. 216
final energy: -15.330 eV per cell
formation energy: -718 meV per atom